Entry a
A plane-wave DFT calculation with PBE was carried out for an optimized crystal structure of LaHo2Al.

Computed properties:
Magnetic moment in μB/atom: 0.0003
Crystal system: tetragonal
D(E_F) in states/eV/cell: 6.13

a = 4.840 Å, b = 4.840 Å, c = 4.799 Å
α = 90.00°, β = 90.00°, γ = 90.00°
Space group P4/mmm (No. 123)
One atom of each set of equivalent atoms:
1 La 0.000 0.000 0.000 (multiplicity 1)
2 Ho 0.000 0.500 0.500 (multiplicity 2)
3 Al 0.500 0.500 0.000 (multiplicity 1)

Entry b
A plane-wave DFT calculation with PBE was carried out for an optimized crystal structure of LaHo2Al.

Computed properties:
Magnetic moment in μB/atom: 0.0001
Crystal system: orthorhombic
D(E_F) in states/eV/cell: 17.90

a = 5.346 Å, b = 6.934 Å, c = 12.072 Å
α = 90.00°, β = 90.00°, γ = 90.00°
Space group Amm2 (No. 38)
One atom of each set of equivalent atoms:
1 La 0.000 0.228 0.000 (multiplicity 4)
2 Ho 0.000 0.000 0.239 (multiplicity 2)
3 Ho 0.500 0.000 0.588 (multiplicity 2)
4 Ho 0.500 0.238 0.824 (multiplicity 4)
5 Al 0.000 0.000 0.744 (multiplicity 2)
6 Al 0.500 0.000 0.090 (multiplicity 2)

Stability, lowest: entry a

Entry a
A plane-wave DFT calculation with PBE was carried out for an optimized crystal structure of LaHo2Al.

Computed properties:
Magnetic moment in μB/atom: 0.0005
Crystal system: trigonal
D(E_F) in states/eV/cell: 16.63

a = 3.4702 Å, b = 3.4702 Å, c = 34.3592 Å
α = 90.00°, β = 90.00°, γ = 120.00°
Space group R-3m (No. 166, hexagonal axes)
One atom of each set of equivalent atoms:
1 La 0.0000 0.0000 0.0000 (multiplicity 3)
2 Ho 0.0000 0.0000 0.1010 (multiplicity 6)
3 Al 0.0000 0.0000 0.5000 (multiplicity 3)

Entry b
A plane-wave DFT calculation with PBE was carried out for an optimized crystal structure of LaHo2Al.

Computed properties:
Magnetic moment in μB/atom: 0.0000
Crystal system: tetragonal
D(E_F) in states/eV/cell: 3.96

a = 3.540 Å, b = 3.540 Å, c = 9.166 Å
α = 90.00°, β = 90.00°, γ = 90.00°
Space group P4/mmm (No. 123)
One atom of each set of equivalent atoms:
1 La 0.000 0.000 0.000 (multiplicity 1)
2 Ho 0.500 0.500 0.295 (multiplicity 2)
3 Al 0.000 0.000 0.500 (multiplicity 1)

Stability, lowest: entry a

Entry a
A plane-wave DFT calculation with PBE was carried out for an optimized crystal structure of LaHo3Al8.

Computed properties:
Magnetic moment in μB/atom: 0.0000
Crystal system: trigonal
D(E_F) in states/eV/cell: 5.78

a = 5.5893 Å, b = 5.5893 Å, c = 9.1960 Å
α = 90.00°, β = 90.00°, γ = 120.00°
Space group P3m1 (No. 156)
One atom of each set of equivalent atoms:
1 La 0.0000 0.0000 0.0000 (multiplicity 1)
2 Ho 0.0000 0.0000 0.3635 (multiplicity 1)
3 Ho 0.6667 0.3333 0.4983 (multiplicity 1)
4 Ho 0.6667 0.3333 0.8623 (multiplicity 1)
5 Al 0.1622 0.3244 0.6776 (multiplicity 3)
6 Al 0.3333 0.6667 0.4352 (multiplicity 1)
7 Al 0.3333 0.6667 0.9297 (multiplicity 1)
8 Al 0.5045 0.0089 0.1882 (multiplicity 3)

Entry b
A plane-wave DFT calculation with PBE was carried out for an optimized crystal structure of LaHo3Al8.

Computed properties:
Magnetic moment in μB/atom: 0.0000
Crystal system: trigonal
D(E_F) in states/eV/cell: 29.99

a = 5.5869 Å, b = 5.5869 Å, c = 27.5871 Å
α = 90.00°, β = 90.00°, γ = 120.00°
Space group R3m (No. 160, hexagonal axes)
One atom of each set of equivalent atoms:
1 La 0.0000 0.0000 0.0000 (multiplicity 3)
2 Ho 0.0000 0.0000 0.1251 (multiplicity 3)
3 Ho 0.0000 0.0000 0.5007 (multiplicity 3)
4 Ho 0.0000 0.0000 0.6246 (multiplicity 3)
5 Al 0.0000 0.0000 0.3121 (multiplicity 3)
6 Al 0.0000 0.0000 0.8131 (multiplicity 3)
7 Al 0.0010 0.5005 0.0645 (multiplicity 9)
8 Al 0.1672 0.3345 0.8944 (multiplicity 9)

Stability, lowest: entry a

Entry a
A plane-wave DFT calculation with PBE was carried out for an optimized crystal structure of La3HoAl8.

Computed properties:
Magnetic moment in μB/atom: 0.0000
Crystal system: trigonal
D(E_F) in states/eV/cell: 23.21

a = 5.6973 Å, b = 5.6973 Å, c = 27.9959 Å
α = 90.00°, β = 90.00°, γ = 120.00°
Space group R3m (No. 160, hexagonal axes)
One atom of each set of equivalent atoms:
1 La 0.0000 0.0000 0.0000 (multiplicity 3)
2 La 0.0000 0.0000 0.1250 (multiplicity 3)
3 La 0.0000 0.0000 0.6261 (multiplicity 3)
4 Ho 0.0000 0.0000 0.5006 (multiplicity 3)
5 Al 0.0000 0.0000 0.3124 (multiplicity 3)
6 Al 0.0000 0.0000 0.8133 (multiplicity 3)
7 Al 0.0013 0.5006 0.0645 (multiplicity 9)
8 Al 0.1673 0.3345 0.8947 (multiplicity 9)

Entry b
A plane-wave DFT calculation with PBE was carried out for an optimized crystal structure of La3HoAl8.

Computed properties:
Magnetic moment in μB/atom: 0.0000
Crystal system: trigonal
D(E_F) in states/eV/cell: 7.30

a = 5.6993 Å, b = 5.6993 Å, c = 9.3737 Å
α = 90.00°, β = 90.00°, γ = 120.00°
Space group P3m1 (No. 156)
One atom of each set of equivalent atoms:
1 La 0.0000 0.0000 0.0000 (multiplicity 1)
2 La 0.0000 0.0000 0.3620 (multiplicity 1)
3 La 0.3333 0.6667 0.8641 (multiplicity 1)
4 Ho 0.3333 0.6667 0.4987 (multiplicity 1)
5 Al 0.0096 0.5048 0.1846 (multiplicity 3)
6 Al 0.3247 0.1624 0.6751 (multiplicity 3)
7 Al 0.6667 0.3333 0.4317 (multiplicity 1)
8 Al 0.6667 0.3333 0.9264 (multiplicity 1)

Stability, lowest: entry b

Entry a
A plane-wave DFT calculation with PBE was carried out for an optimized crystal structure of LaPmHoAl.

Computed properties:
Magnetic moment in μB/atom: 0.0000
Crystal system: tetragonal
D(E_F) in states/eV/cell: 4.02

a = 3.565 Å, b = 3.565 Å, c = 9.318 Å
α = 90.00°, β = 90.00°, γ = 90.00°
Space group P4mm (No. 99)
One atom of each set of equivalent atoms:
1 La 0.000 0.000 0.000 (multiplicity 1)
2 Pm 0.500 0.500 0.698 (multiplicity 1)
3 Ho 0.500 0.500 0.285 (multiplicity 1)
4 Al 0.000 0.000 0.484 (multiplicity 1)

Entry b
A plane-wave DFT calculation with PBE was carried out for an optimized crystal structure of LaPmHoAl.

Computed properties:
Magnetic moment in μB/atom: 0.0001
Crystal system: cubic
D(E_F) in states/eV/cell: 28.01

a = 7.748 Å, b = 7.748 Å, c = 7.748 Å
α = 90.00°, β = 90.00°, γ = 90.00°
Space group F-43m (No. 216)
One atom of each set of equivalent atoms:
1 La 0.000 0.000 0.000 (multiplicity 4)
2 Pm 0.000 0.000 0.500 (multiplicity 4)
3 Ho 0.250 0.250 0.750 (multiplicity 4)
4 Al 0.250 0.250 0.250 (multiplicity 4)

Stability, lowest: entry b

Entry a
A plane-wave DFT calculation with PBE was carried out for an optimized crystal structure of LaTbHoAl.

Computed properties:
Magnetic moment in μB/atom: 0.0883
Crystal system: cubic
D(E_F) in states/eV/cell: 28.35

a = 7.694 Å, b = 7.694 Å, c = 7.694 Å
α = 90.00°, β = 90.00°, γ = 90.00°
Space group F-43m (No. 216)
One atom of each set of equivalent atoms:
1 La 0.000 0.000 0.000 (multiplicity 4)
2 Tb 0.000 0.000 0.500 (multiplicity 4)
3 Ho 0.250 0.250 0.250 (multiplicity 4)
4 Al 0.250 0.250 0.750 (multiplicity 4)

Entry b
A plane-wave DFT calculation with PBE was carried out for an optimized crystal structure of LaTbHoAl.

Computed properties:
Magnetic moment in μB/atom: 0.0001
Crystal system: tetragonal
D(E_F) in states/eV/cell: 3.99

a = 3.550 Å, b = 3.550 Å, c = 9.188 Å
α = 90.00°, β = 90.00°, γ = 90.00°
Space group P4mm (No. 99)
One atom of each set of equivalent atoms:
1 La 0.000 0.000 0.000 (multiplicity 1)
2 Tb 0.500 0.500 0.703 (multiplicity 1)
3 Ho 0.500 0.500 0.292 (multiplicity 1)
4 Al 0.000 0.000 0.495 (multiplicity 1)

Stability, lowest: entry a